DFT (PBE) results for KZrAl2O after structural relaxation.

Formation energy without anion corrections (meV per atom): -327
Density (Mg/m³): 2.5
E_tot (eV/f.u.): -23.722

Unit cell a=5.7388 b=5.7388 c=4.1011 alpha=90.00 beta=90.00 gamma=90.00
Last column: nearest neighbours and their distance in Å.
Space group P4/mmm (No. 123)
Symmetry-distinct sites (fractional):
1 K 0.0000 0.0000 0.0000 x1  8 Al 3.53
2 Zr 0.5000 0.5000 0.5000 x1  2 O 2.05
3 Al 0.0000 0.5000 0.5000 x2  2 Zr 2.87
4 O 0.5000 0.5000 0.0000 x1  2 Zr 2.05